Record 1
An optimized crystal structure of PmSmTm2Se4. Source: Alexandria via LeMat-Bulk, functional GGA-PBE.

Unit cell a=4.0255 b=7.2961 c=7.0095 alpha=71.47 beta=90.00 gamma=90.00
Atoms (fractional coordinates):
1 Se 0.5000 0.7663 0.2452
2 Se 0.0000 0.2331 0.2567
3 Tm 0.5000 0.0000 0.5000
4 Pm 0.5000 0.5000 0.0000
5 Se 0.5000 0.2337 0.7548
6 Se 0.0000 0.7669 0.7433
7 Tm 0.0000 0.0000 0.0000
8 Sm 0.0000 0.5000 0.5000

## Properties
Formation energy from raw total energies: -40.36 kcal/mol of atoms
Density of states at the Fermi level: 0.460 states/eV/atom
Calculated density: 8.1 g/cm3


Record 2
An optimized crystal structure of PmSm2YSe6. Source: Alexandria via LeMat-Bulk, functional GGA-PBE.

Unit cell a=7.3528 b=7.3528 c=7.8163 alpha=61.95 beta=61.95 gamma=60.00
Atoms (fractional coordinates):
1 Pm 0.8156 0.8156 0.5531
2 Sm 0.5175 0.5175 0.4476
3 Se 0.4145 0.7148 0.7535
4 Se 0.1172 0.4146 0.7535
5 Sm 0.0153 0.0154 0.9541
6 Se 0.9249 0.6066 0.2518
7 Se 0.7148 0.1171 0.7535
8 Y 0.3185 0.3184 0.0445
9 Se 0.2167 0.9248 0.2518
10 Se 0.6066 0.2168 0.2518

## Properties
Formation energy from raw total energies: -42.63 kcal/mol of atoms
Density of states at the Fermi level: 0.000 states/eV/atom
Calculated density: 5.4 g/cm3


Record 3
An optimized crystal structure of PmSm3Y2Se6. Source: Alexandria via LeMat-Bulk, functional GGA-PBE.

Unit cell a=7.1864 b=7.1864 c=7.1959 alpha=99.54 beta=99.54 gamma=120.25
Atoms (fractional coordinates):
1 Y 0.3339 0.6661 0.0000
2 Se 0.4223 0.0819 0.2466
3 Sm 0.5000 0.5000 0.5000
4 Se 0.2591 0.2591 0.7571
5 Se 0.7409 0.7409 0.2429
6 Sm 0.1621 0.8379 0.5000
7 Se 0.5777 0.9181 0.7534
8 Se 0.9181 0.5777 0.7534
9 Pm 0.0000 0.0000 0.0000
10 Sm 0.8379 0.1621 0.5000
11 Se 0.0819 0.4223 0.2466
12 Y 0.6661 0.3339 0.0000

## Properties
Formation energy from raw total energies: -41.64 kcal/mol of atoms
Density of states at the Fermi level: 0.464 states/eV/atom
Calculated density: 6.8 g/cm3


- Which value of density of states at the Fermi level does entry 1 give?
  0.460 states/eV/atom